No. 1
This record from Alexandria describes Th4Bi2AsIr after structural relaxation. The functional is PBE.

Results
- Calculated formation energy: -886 meV per atom

Unit cell a=4.280 b=7.656 c=7.867 alpha=108.74 beta=90.00 gamma=90.00
Sites, in units of the cell vectors:
Th (0.500, 0.246, 0.220)
Th (0.500, 0.754, 0.780)
Th (0.000, 0.719, 0.206)
Th (0.000, 0.281, 0.794)
Bi (0.000, 0.500, 0.500)
Bi (0.500, 0.000, 0.500)
As (0.000, 0.000, 0.000)
Ir (0.500, 0.500, 0.000)

---

No. 2
This record from Alexandria describes K2BiAs after structural relaxation. The functional is PBE.

Results
- Calculated formation energy: -122 meV per atom
- Excess energy over the best structure of this formula in the dataset: 238 meV/atom

Unit cell a=12.740 b=12.740 c=9.438 alpha=47.55 beta=47.55 gamma=90.00
Sites, in units of the cell vectors:
Bi (0.000, 0.000, 0.000)
Bi (0.750, 0.250, 0.500)
K (0.354, 0.625, 0.250)
K (0.875, 0.646, 0.750)
K (0.375, 0.604, 0.750)
K (0.396, 0.125, 0.250)
As (0.250, 0.750, 0.500)
As (0.500, 0.500, 0.000)

---

No. 3
This record from Alexandria describes KBi2As after structural relaxation. The functional is PBE.

Results
- Calculated formation energy: 174 meV per atom
- Excess energy over the best structure of this formula in the dataset: 225 meV/atom

Unit cell a=5.527 b=5.527 c=5.527 alpha=60.00 beta=60.00 gamma=60.00
Sites, in units of the cell vectors:
Bi (0.750, 0.750, 0.750)
Bi (0.250, 0.250, 0.250)
As (0.500, 0.500, 0.500)
K (0.000, 0.000, 0.000)

---

Question: Among the records above, which one has the highest calculated formation energy?
Answer: KBi2As